--- a ---
The following is a PBE+U calculation of a relaxed Pb2WF crystal, from Alexandria.

Cell lengths 7.7621, 7.7621, 6.4257 Å; angles 52.84, 52.84, 90.00 degrees
Last column: nearest neighbours and their distance in Å.
Element x y z (fractional)
Pb 0.3750 0.4378 0.7500  2 F 2.56
F 0.2500 0.7500 0.5000  4 Pb 2.56
Pb 0.8750 0.8122 0.7500  2 F 2.56
W 0.7500 0.2500 0.5000  8 Pb 3.22-3.49, 2 F 3.34
Pb 0.5622 0.1250 0.2500  2 F 2.56
Pb 0.1878 0.6250 0.2500  2 F 2.56
F 0.5000 0.5000 0.0000  4 Pb 2.56
W 0.0000 0.0000 0.0000  8 Pb 3.22-3.49, 2 F 3.34

Results
* total magnetization: 4.25 μB/f.u.
* symmetry: I-42d, No. 122
* crystal system: tetragonal
* theoretical density: 10.2 g/cm3



--- b ---
The following is a PBE+U calculation of a relaxed Pb2WF crystal, from Alexandria.

Cell lengths 5.0540, 5.0540, 5.0540 Å; angles 60.00, 60.00, 60.00 degrees
Last column: nearest neighbours and their distance in Å.
Element x y z (fractional)
W 0.5000 0.5000 0.5000  8 Pb 3.09
Pb 0.2500 0.2500 0.2500  4 W 3.09, 4 F 3.09
F 0.0000 0.0000 0.0000  8 Pb 3.09
Pb 0.7500 0.7500 0.7500  4 W 3.09, 4 F 3.09

Results
* total magnetization: 3.82 μB/f.u.
* symmetry: Fm-3m, No. 225
* crystal system: cubic
* theoretical density: 11.2 g/cm3



Relative energies, meV per atom: a 69; b 0.